Compound: Ba5Se4S
Source: Alexandria
Functional: GGA-PBE
Structure: relaxed

Results
- D(E_F) (states/eV/cell) = 0.0
- raw total energy (eV per atom) = -4.821
- spin magnetization (Bohr magnetons per cell) = 0.000

Cell: 12.4292 12.4292 12.4292 Å, 158.24 149.00 38.20°
With the nearest neighbours (Å) after each atom.
Atoms (fractional coordinates):
Ba (0.0000, 0.0000, 0.0000)  4 Se 3.31, 2 S 3.32
Ba (0.2006, 0.2006, 0.0000)  6 Se 3.32-3.34
Ba (0.4037, 0.4037, 0.0000)  2 S 3.26, 4 Se 3.32-3.36
Ba (0.5963, 0.5963, 0.0000)  2 S 3.26, 4 Se 3.32-3.36
Ba (0.7994, 0.7994, 0.0000)  6 Se 3.32-3.34
Se (0.0996, 0.5996, 0.5000)  6 Ba 3.31-3.34
Se (0.3016, 0.8016, 0.5000)  6 Ba 3.32-3.36
Se (0.6984, 0.1984, 0.5000)  6 Ba 3.32-3.36
Se (0.9004, 0.4004, 0.5000)  6 Ba 3.31-3.34
S (0.5000, 0.0000, 0.5000)  6 Ba 3.26-3.32